*i*
## CsAgCl2 (PBE)

Data for crystalline CsAgCl2 at its relaxed geometry.

abc: 8.5007 8.5007 8.5007
angles: 37.15 37.15 37.15
Last column: nearest neighbours and their distance in Å.
Element x y z (fractional)
Cl: 0.9011 0.9011 0.9011  1 Ag 2.35
Cs: 0.5000 0.5000 0.5000  6 Cl 3.52
Ag: 0.0000 0.0000 0.0000  2 Cl 2.35
Cl: 0.0989 0.0989 0.0989  1 Ag 2.35

Computed properties:
Theoretical density (g cm⁻³): 2.6
Total moment (Bohr magnetons per cell): 0.0


*ii*
## CsAgCl2 (PBE)

Data for crystalline CsAgCl2 at its relaxed geometry.

abc: 5.1247 5.1247 10.0328
angles: 90.00 90.00 90.00
Last column: nearest neighbours and their distance in Å.
Element x y z (fractional)
Cs: 0.5000 0.0000 0.6998  5 Cl 3.49-3.66
Ag: 0.0000 0.5000 0.9016  5 Cl 2.55-2.75
Cl: 0.5000 0.5000 0.0000  4 Ag 2.75
Cs: 0.0000 0.5000 0.3002  5 Cl 3.49-3.66
Cl: 0.0000 0.5000 0.6476  1 Ag 2.55
Ag: 0.5000 0.0000 0.0984  5 Cl 2.55-2.75
Cl: 0.5000 0.0000 0.3524  1 Ag 2.55
Cl: 0.0000 0.0000 0.0000  4 Ag 2.75

Computed properties:
Theoretical density (g cm⁻³): 3.9
Total moment (Bohr magnetons per cell): 0.0


Ranked by calculated energy, most stable first: *ii*, *i*.


*i*
## SiHgBr2 (PBE)

Data for crystalline SiHgBr2 at its relaxed geometry.

abc: 11.3105 11.3105 11.3105
angles: 20.05 20.05 20.05
Last column: nearest neighbours and their distance in Å.
Element x y z (fractional)
Br: 0.1187 0.1187 0.1187  3 Si 2.78
Br: 0.8813 0.8813 0.8813  3 Si 2.78
Hg: 0.0000 0.0000 0.0000  6 Hg 3.94, 2 Br 3.95
Si: 0.5000 0.5000 0.5000  6 Br 2.78

Computed properties:
Theoretical density (g cm⁻³): 4.3
Total moment (Bohr magnetons per cell): 0.0


*ii*
## SiHgBr2 (PBE)

Data for crystalline SiHgBr2 at its relaxed geometry.

abc: 3.6992 3.7749 9.9428
angles: 77.25 90.00 90.00
Last column: nearest neighbours and their distance in Å.
Element x y z (fractional)
Si: 0.5000 0.7500 0.7500  4 Br 2.68
Br: 0.0000 0.5949 0.5772  2 Si 2.68
Hg: 0.5000 0.2500 0.2500  4 Hg 3.70-3.77, 4 Br 4.07
Br: 0.0000 0.9051 0.9228  2 Si 2.68

Computed properties:
Theoretical density (g cm⁻³): 4.8
Total moment (Bohr magnetons per cell): 0.0


Ranked by calculated energy, most stable first: *i*, *ii*.


*i*
## TcNi2W (PBE)

Data for crystalline TcNi2W at its relaxed geometry.

abc: 4.1902 2.6059 4.8132
angles: 83.19 90.00 90.00
Last column: nearest neighbours and their distance in Å.
Element x y z (fractional)
Ni: 0.5000 0.1036 0.2610  4 Ni 2.45-2.61, 3 W 2.58-2.65, 4 Tc 2.62-2.69
Tc: 0.0000 0.5315 0.4639  7 Ni 2.59-2.69, 2 Tc 2.61, 2 W 2.67
Ni: 0.0000 0.1430 0.9936  4 Ni 2.45-2.61, 3 Tc 2.59-2.63, 4 W 2.63-2.71
W: 0.5000 0.7219 0.7815  7 Ni 2.58-2.71, 2 W 2.61, 2 Tc 2.67

Computed properties:
Theoretical density (g cm⁻³): 12.7
Total moment (Bohr magnetons per cell): 0.0


*ii*
## TcNi2W (PBE)

Data for crystalline TcNi2W at its relaxed geometry.

abc: 4.2327 4.2327 4.2327
angles: 60.00 60.00 60.00
Last column: nearest neighbours and their distance in Å.
Element x y z (fractional)
W: 0.7500 0.7500 0.7500  4 Tc 2.59, 4 Ni 2.59
Tc: 0.5000 0.5000 0.5000  4 W 2.59, 4 Ni 2.59
Ni: 0.2500 0.2500 0.2500  4 Tc 2.59, 4 Ni 2.59
Ni: 0.0000 0.0000 0.0000  4 Ni 2.59, 4 W 2.59

Computed properties:
Theoretical density (g cm⁻³): 12.4
Total moment (Bohr magnetons per cell): 0.8


Ranked by calculated energy, most stable first: *i*, *ii*.


*i*
## NiSnSb2I (PBE)

Data for crystalline NiSnSb2I at its relaxed geometry.

abc: 4.9872 4.9872 5.5473
angles: 90.00 90.00 90.00
Last column: nearest neighbours and their distance in Å.
Element x y z (fractional)
Ni: 0.0000 0.0000 0.0000  4 Sb 2.49, 2 I 2.77
I: 0.0000 0.0000 0.5000  2 Ni 2.77
Sb: 0.0000 0.5000 0.0000  2 Ni 2.49
Sn: 0.5000 0.5000 0.5000  4 I 3.53, 8 Sb 3.73
Sb: 0.5000 0.0000 0.0000  2 Ni 2.49

Computed properties:
Theoretical density (g cm⁻³): 6.6
Total moment (Bohr magnetons per cell): 0.0


*ii*
## NiSnSb2I (PBE)

Data for crystalline NiSnSb2I at its relaxed geometry.

abc: 5.6945 5.6945 5.8652
angles: 90.00 90.00 90.00
Last column: nearest neighbours and their distance in Å.
Element x y z (fractional)
I: 0.0000 0.0000 0.5000  2 Sn 2.93
Sb: 0.0000 0.5000 0.0000  2 Sn 2.85
Sn: 0.0000 0.0000 0.0000  4 Sb 2.85, 2 I 2.93
Sb: 0.5000 0.0000 0.0000  2 Sn 2.85
Ni: 0.5000 0.5000 0.5000  4 I 4.03, 8 Sb 4.09

Computed properties:
Theoretical density (g cm⁻³): 4.8
Total moment (Bohr magnetons per cell): 1.2


Ranked by calculated energy, most stable first: *i*, *ii*.